Entry 1:
This record from Alexandria via LeMat-Bulk describes a geometry-optimized Pr2PuCd6 structure. The functional is GGA-PBE.

The calculation puts the total magnetization at 0.702 μB/atom. The value obtained for the formation energy is -2.3 eV/f.u.

It has space group P6/mmm (No. 191), with a = 8.9106 Å, b = 8.9106 Å, c = 3.3442 Å, α = 90.00°, β = 90.00° and γ = 120.00°. The asymmetric unit holds Pr at (0.3333, 0.6667, 0.0000), Pu at (0.0000, 0.0000, 0.0000) and Cd at (0.0000, 0.3319, 0.5000).

=====

Entry 2:
This record from Alexandria via LeMat-Bulk describes a geometry-optimized PrPuCd4 structure. The functional is GGA-PBE.

The calculation puts the total magnetization at 0.962 μB/atom. For the distance to the lowest polymorph of the same formula, the calculation gives 56.8 meV per atom. The value obtained for the formation energy is -0.9 eV/f.u.

It has space group F-43m (No. 216), with a = 8.486 Å, b = 8.486 Å, c = 8.486 Å, α = 90.00°, β = 90.00° and γ = 90.00°. The asymmetric unit holds Pr at (0.000, 0.000, 0.000), Pu at (0.250, 0.250, 0.750) and Cd at (0.125, 0.125, 0.375).

=====

Entry 3:
This record from Alexandria via LeMat-Bulk describes a geometry-optimized Pr2PuCd structure. The functional is GGA-PBE.

The calculation puts the total magnetization at 1.583 μB/atom. For the distance to the lowest polymorph of the same formula, the calculation gives 0.0 meV per atom. The value obtained for the formation energy is -0.1 eV/f.u.

It has space group P4/mmm (No. 123), with a = 3.659 Å, b = 3.659 Å, c = 9.136 Å, α = 90.00°, β = 90.00° and γ = 90.00°. The asymmetric unit holds Pr at (0.000, 0.000, 0.236), Pu at (0.500, 0.500, 0.500) and Cd at (0.500, 0.500, 0.000).

=====

Entry 4:
This record from Alexandria via LeMat-Bulk describes a geometry-optimized PrPuCd2 structure. The functional is GGA-PBE.

The calculation puts the total magnetization at 1.603 μB/atom. For the distance to the lowest polymorph of the same formula, the calculation gives 0.0 meV per atom. The value obtained for the formation energy is -0.5 eV/f.u.

It has space group P4/mmm (No. 123), with a = 5.364 Å, b = 5.364 Å, c = 3.922 Å, α = 90.00°, β = 90.00° and γ = 90.00°. The asymmetric unit holds Pr at (0.000, 0.000, 0.000), Pu at (0.500, 0.500, 0.000) and Cd at (0.000, 0.500, 0.500).

=====

Entry 5:
This record from Alexandria via LeMat-Bulk describes a geometry-optimized PrPuCd4 structure. The functional is GGA-PBE.

The calculation puts the total magnetization at 1.012 μB/atom. For the distance to the lowest polymorph of the same formula, the calculation gives 0.0 meV per atom. The value obtained for the formation energy is -1.2 eV/f.u.

It has space group Cmcm (No. 63), with a = 6.629 Å, b = 17.790 Å, c = 5.142 Å, α = 90.00°, β = 90.00° and γ = 90.00°. The asymmetric unit holds Pr at (0.000, 0.122, 0.250), Pu at (0.000, 0.372, 0.750), Cd at (0.240, 0.458, 0.250) and Cd at (0.248, 0.292, 0.250).

=====

Entry 6:
This record from Alexandria via LeMat-Bulk describes a geometry-optimized Pr4PuCd5 structure. The functional is GGA-PBE.

The calculation puts the total magnetization at 0.750 μB/atom. The value obtained for the formation energy is -2.4 eV/f.u.

It has space group P4/mmm (No. 123), with a = 3.871 Å, b = 3.871 Å, c = 19.246 Å, α = 90.00°, β = 90.00° and γ = 90.00°. The asymmetric unit holds Pr at (0.000, 0.000, 0.101), Pr at (0.000, 0.000, 0.304), Pu at (0.000, 0.000, 0.500), Cd at (0.500, 0.500, 0.000), Cd at (0.500, 0.500, 0.202) and Cd at (0.500, 0.500, 0.404).

=====

Entry 7:
This record from Alexandria via LeMat-Bulk describes a geometry-optimized Pr2PuCd structure. The functional is GGA-PBE.

The calculation puts the total magnetization at 1.555 μB/atom. For the distance to the lowest polymorph of the same formula, the calculation gives 100.3 meV per atom. The value obtained for the formation energy is 0.3 eV/f.u.

It has space group Fm-3m (No. 225), with a = 7.870 Å, b = 7.870 Å, c = 7.870 Å, α = 90.00°, β = 90.00° and γ = 90.00°. The asymmetric unit holds Pr at (0.250, 0.250, 0.250), Pu at (0.000, 0.000, 0.000) and Cd at (0.000, 0.000, 0.500).

=====

Entry 8:
This record from Alexandria via LeMat-Bulk describes a geometry-optimized PrPuCd structure. The functional is GGA-PBE.

The calculation puts the total magnetization at 2.045 μB/atom. For the distance to the lowest polymorph of the same formula, the calculation gives 2.2 meV per atom. The value obtained for the formation energy is 0.0 eV/f.u.

It has space group P-1 (No. 2), with a = 5.794 Å, b = 5.942 Å, c = 5.951 Å, α = 60.09°, β = 81.30° and γ = 72.84°. The asymmetric unit holds Pr at (0.250, 0.225, 0.052), Pu at (0.250, 0.550, 0.403) and Cd at (0.251, 0.904, 0.694).

=====

Entry 9:
This record from Alexandria via LeMat-Bulk describes a geometry-optimized PrPuCd2 structure. The functional is GGA-PBE.

The calculation puts the total magnetization at 1.583 μB/atom. For the distance to the lowest polymorph of the same formula, the calculation gives 20.7 meV per atom. The value obtained for the formation energy is -0.4 eV/f.u.

It has space group Fm-3m (No. 225), with a = 7.677 Å, b = 7.677 Å, c = 7.677 Å, α = 90.00°, β = 90.00° and γ = 90.00°. The asymmetric unit holds Pr at (0.000, 0.000, 0.000), Pu at (0.000, 0.000, 0.500) and Cd at (0.250, 0.250, 0.250).

=====

Entry 10:
This record from Alexandria via LeMat-Bulk describes a geometry-optimized PrPuCd structure. The functional is GGA-PBE.

The calculation puts the total magnetization at 2.065 μB/atom. For the distance to the lowest polymorph of the same formula, the calculation gives 0.0 meV per atom. The value obtained for the formation energy is 0.0 eV/f.u.

It has space group I4mm (No. 107), with a = 3.526 Å, b = 3.526 Å, c = 14.133 Å, α = 90.00°, β = 90.00° and γ = 90.00°. The asymmetric unit holds Pr at (0.000, 0.000, 0.000), Pu at (0.000, 0.000, 0.684) and Cd at (0.000, 0.000, 0.339).

=====

Entry 11:
This record from Alexandria via LeMat-Bulk describes a geometry-optimized PrPuCd2 structure. The functional is GGA-PBE.

The calculation puts the total magnetization at 1.458 μB/atom. For the distance to the lowest polymorph of the same formula, the calculation gives 8.3 meV per atom. The value obtained for the formation energy is -0.5 eV/f.u.

It has space group P4/mmm (No. 123), with a = 3.308 Å, b = 3.308 Å, c = 9.739 Å, α = 90.00°, β = 90.00° and γ = 90.00°. The asymmetric unit holds Pr at (0.000, 0.000, 0.000), Pu at (0.000, 0.000, 0.500) and Cd at (0.500, 0.500, 0.254).

=====

Entry 12:
This record from Alexandria via LeMat-Bulk describes a geometry-optimized PrPu2Cd structure. The functional is GGA-PBE.

The calculation puts the total magnetization at 3.320 μB/atom. For the distance to the lowest polymorph of the same formula, the calculation gives 110.5 meV per atom. The value obtained for the formation energy is 0.7 eV/f.u.

It has space group P4/mmm (No. 123), with a = 4.171 Å, b = 4.171 Å, c = 6.726 Å, α = 90.00°, β = 90.00° and γ = 90.00°. The asymmetric unit holds Pr at (0.000, 0.000, 0.000), Pu at (0.500, 0.500, 0.271) and Cd at (0.000, 0.000, 0.500).

=====

Entry 13:
This record from Alexandria via LeMat-Bulk describes a geometry-optimized Pr2PuCd structure. The functional is GGA-PBE.

The calculation puts the total magnetization at 1.603 μB/atom. For the distance to the lowest polymorph of the same formula, the calculation gives 262.4 meV per atom. The value obtained for the formation energy is 0.9 eV/f.u.

It has space group R-3m (No. 166, hexagonal axes), with a = 3.4668 Å, b = 3.4668 Å, c = 36.4221 Å, α = 90.00°, β = 90.00° and γ = 120.00°. The asymmetric unit holds Pr at (0.0000, 0.0000, 0.0919), Pu at (0.0000, 0.0000, 0.0000) and Cd at (0.0000, 0.0000, 0.5000).

=====

Entry 14:
This record from Alexandria via LeMat-Bulk describes a geometry-optimized PrPu2Cd structure. The functional is GGA-PBE.

The calculation puts the total magnetization at 3.148 μB/atom. For the distance to the lowest polymorph of the same formula, the calculation gives 0.0 meV per atom. The value obtained for the formation energy is 0.3 eV/f.u.

It has space group P4/mmm (No. 123), with a = 4.608 Å, b = 4.608 Å, c = 5.294 Å, α = 90.00°, β = 90.00° and γ = 90.00°. The asymmetric unit holds Pr at (0.000, 0.000, 0.000), Pu at (0.000, 0.500, 0.500) and Cd at (0.500, 0.500, 0.000).

=====

Entry 15:
This record from Alexandria via LeMat-Bulk describes a geometry-optimized PrPuCd structure. The functional is GGA-PBE.

The calculation puts the total magnetization at 1.904 μB/atom. For the distance to the lowest polymorph of the same formula, the calculation gives 117.9 meV per atom. The value obtained for the formation energy is 0.4 eV/f.u.

It has space group P3m1 (No. 156), with a = 5.4761 Å, b = 5.4761 Å, c = 3.1343 Å, α = 90.00°, β = 90.00° and γ = 120.00°. The asymmetric unit holds Pr at (0.0000, 0.0000, 0.0000), Pu at (0.6667, 0.3333, 0.0020) and Cd at (0.3333, 0.6667, 0.5013).

=====

Entry 16:
This record from Alexandria via LeMat-Bulk describes a geometry-optimized PrSmPuCd structure. The functional is GGA-PBE.

The calculation puts the total magnetization at 1.572 μB/atom. The value obtained for the formation energy is 0.3 eV/f.u.

It has space group F-43m (No. 216), with a = 7.808 Å, b = 7.808 Å, c = 7.808 Å, α = 90.00°, β = 90.00° and γ = 90.00°. The asymmetric unit holds Pr at (0.000, 0.000, 0.000), Sm at (0.000, 0.000, 0.500), Pu at (0.250, 0.250, 0.750) and Cd at (0.250, 0.250, 0.250).

=====

Entry 17:
This record from Alexandria via LeMat-Bulk describes a geometry-optimized PrPu2Cd2Sn2 structure. The functional is GGA-PBE.

The calculation puts the total magnetization at 1.794 μB/atom. The value obtained for the formation energy is -1.6 eV/f.u.

It has space group R-3m (No. 166, hexagonal axes), with a = 4.9508 Å, b = 4.9508 Å, c = 26.6844 Å, α = 90.00°, β = 90.00° and γ = 120.00°. The asymmetric unit holds Pr at (0.0000, 0.0000, 0.0000), Pu at (0.0000, 0.0000, 0.1462), Cd at (0.0000, 0.0000, 0.4282) and Sn at (0.0000, 0.0000, 0.2670).

=====

Entry 18:
This record from Alexandria via LeMat-Bulk describes a geometry-optimized PrPuThCd structure. The functional is GGA-PBE.

The calculation puts the total magnetization at 1.685 μB/atom. The value obtained for the formation energy is 0.4 eV/f.u.

It has space group F-43m (No. 216), with a = 7.757 Å, b = 7.757 Å, c = 7.757 Å, α = 90.00°, β = 90.00° and γ = 90.00°. The asymmetric unit holds Pr at (0.000, 0.000, 0.000), Pu at (0.250, 0.250, 0.750), Th at (0.000, 0.000, 0.500) and Cd at (0.250, 0.250, 0.250).

=====

Entry 19:
This record from Alexandria via LeMat-Bulk describes a geometry-optimized PrPuTlCd structure. The functional is GGA-PBE.

The calculation puts the total magnetization at 1.615 μB/atom. The value obtained for the formation energy is -0.6 eV/f.u.

It has space group F-43m (No. 216), with a = 7.733 Å, b = 7.733 Å, c = 7.733 Å, α = 90.00°, β = 90.00° and γ = 90.00°. The asymmetric unit holds Pr at (0.000, 0.000, 0.000), Pu at (0.000, 0.000, 0.500), Tl at (0.250, 0.250, 0.750) and Cd at (0.250, 0.250, 0.250).

=====

Entry 20:
This record from Alexandria via LeMat-Bulk describes a geometry-optimized PrPuZnCd structure. The functional is GGA-PBE.

The calculation puts the total magnetization at 1.568 μB/atom. The value obtained for the formation energy is -0.4 eV/f.u.

It has space group F-43m (No. 216), with a = 7.507 Å, b = 7.507 Å, c = 7.507 Å, α = 90.00°, β = 90.00° and γ = 90.00°. The asymmetric unit holds Pr at (0.000, 0.000, 0.000), Pu at (0.000, 0.000, 0.500), Zn at (0.250, 0.250, 0.250) and Cd at (0.250, 0.250, 0.750).